# 1
This record from the Alexandria database describes crystalline AlTlZn at its relaxed geometry. The functional is GGA-PBE.

Values from the calculation:
M_tot   0.00 Bohr magnetons per cell
Formation enthalpy at 0 K   119 meV per atom
Calculated volume   22.6 A^3/atom

Unit cell a=5.1516 b=4.2575 c=6.3250 alpha=90.00 beta=102.42 gamma=90.00
Last column: nearest neighbours and their distance in Å.
Space group Pm (No. 6)
One atom of each set of equivalent atoms:
Al 0.0000 0.0000 0.0000  4 Zn 2.60-2.67, 2 Al 2.88
Al 0.1834 0.5000 0.7631  4 Zn 2.59-2.66, 2 Al 2.88
Tl 0.3356 0.5000 0.3173  4 Al 3.08-3.42, 2 Tl 3.35
Tl 0.8470 0.0000 0.4453  4 Al 3.08-3.43, 2 Tl 3.35
Zn 0.4730 0.0000 0.9189  2 Zn 2.55, 4 Al 2.60-2.66
Zn 0.7101 0.5000 0.8420  2 Zn 2.55, 4 Al 2.59-2.67



# 2
This record from the Alexandria database describes crystalline AlTlZn2 at its relaxed geometry. The functional is GGA-PBE.

Values from the calculation:
M_tot   0.00 Bohr magnetons per cell
Formation enthalpy at 0 K   243 meV per atom
Calculated volume   19.9 A^3/atom

Unit cell a=4.4152 b=4.4152 c=4.0856 alpha=90.00 beta=90.00 gamma=90.00
Last column: nearest neighbours and their distance in Å.
Space group P4/mmm (No. 123)
One atom of each set of equivalent atoms:
Al 0.0000 0.0000 0.0000  8 Zn 3.01, 4 Tl 3.12
Tl 0.5000 0.5000 0.0000  8 Zn 3.01, 4 Al 3.12
Zn 0.0000 0.5000 0.5000  4 Tl 3.01, 4 Al 3.01, 4 Zn 3.12



# 3
This record from the Alexandria database describes crystalline AlTlZn at its relaxed geometry. The functional is GGA-PBE.

Values from the calculation:
M_tot   0.00 Bohr magnetons per cell
Formation enthalpy at 0 K   137 meV per atom
Calculated volume   23.1 A^3/atom

Unit cell a=3.1473 b=4.3386 c=10.1516 alpha=92.72 beta=91.55 gamma=90.03
Last column: nearest neighbours and their distance in Å.
Space group P1 (No. 1)
One atom of each set of equivalent atoms:
Al 0.0000 0.0000 0.0000  5 Zn 2.68-2.92, 2 Al 2.93
Al 0.4788 0.1328 0.7658  5 Zn 2.65-2.69, 2 Al 2.93
Tl 0.0340 0.5380 0.2437  2 Zn 3.07-3.11, 4 Tl 3.15-3.42, 2 Al 3.26-3.32
Tl 0.9467 0.0715 0.5004  2 Al 3.11-3.13, 4 Tl 3.15-3.42, 2 Zn 3.25-3.43
Zn 0.4988 0.5007 0.9815  5 Al 2.65-2.70, 2 Zn 2.90
Zn 0.9777 0.6324 0.7509  5 Al 2.68-2.92, 2 Zn 2.90